{"formula": "Tl2NiHgI", "functional": "PBE-GGA", "state": "optimized geometry", "lattice": [[-1.045, 0.414, 5.184], [4.739, -2.101, 1.123], [2.091, 4.739, 0.044]], "species": ["Tl", "I", "Ni", "Hg", "Tl"], "fractional_positions": [[0.500, 0.000, 0.000], [0.500, 0.500, 0.500], [0.000, 0.000, 0.000], [0.000, 0.000, 0.500], [0.000, 0.500, 0.000]], "e_form_raw_ev_per_atom": -0.12, "spacegroup": "P4/mmm, No. 123", "dft_energy_ev_per_fu": -12.99, "density_g_cm3": 9.06}

{"formula": "TlNiHg2I", "functional": "PBE-GGA", "state": "optimized geometry", "lattice": [[5.162, 0.000, 0.000], [0.000, 5.162, 0.000], [0.000, 0.000, 5.391]], "species": ["Ni", "I", "Tl", "Hg", "Hg"], "fractional_positions": [[0.000, 0.000, 0.000], [0.500, 0.500, 0.500], [0.000, 0.000, 0.500], [0.000, 0.500, 0.000], [0.500, 0.000, 0.000]], "e_form_raw_ev_per_atom": -0.04, "spacegroup": "P4/mmm, No. 123", "dft_energy_ev_per_fu": -10.49, "density_g_cm3": 9.15}

{"formula": "VNiHg2I", "functional": "PBE-GGA", "state": "optimized geometry", "lattice": [[6.413, 0.000, 0.000], [0.000, 4.556, 0.000], [0.000, 0.000, 6.413]], "species": ["Hg", "I", "Ni", "Hg", "V"], "fractional_positions": [[0.500, 0.000, 0.000], [0.000, 0.000, 0.000], [0.000, 0.500, 0.000], [0.000, 0.000, 0.500], [0.500, 0.500, 0.500]], "e_form_raw_ev_per_atom": 1.27, "spacegroup": "P4/mmm, No. 123", "dft_energy_ev_per_fu": -10.73, "density_g_cm3": 5.65}

{"formula": "ZrNiHgI2", "functional": "PBE-GGA", "state": "optimized geometry", "lattice": [[-2.167, -1.434, 5.182], [5.196, -0.701, 1.978], [0.142, 5.569, 1.601]], "species": ["Zr", "I", "Hg", "I", "Ni"], "fractional_positions": [[0.000, 0.500, 0.000], [0.000, 0.000, 0.500], [0.000, 0.000, 0.000], [0.500, 0.000, 0.000], [0.500, 0.500, 0.500]], "e_form_raw_ev_per_atom": 1.37, "spacegroup": "P4/mmm, No. 123", "dft_energy_ev_per_fu": -10.90, "density_g_cm3": 5.33}